A relaxed structure of CuRe2As, computed with PBE.

Summary:
Uncorrected energy in eV/cell: -62.87
E_form in eV/atom: 0.551

abc: 5.4346 8.6763 2.7862
angles: 90.00 116.07 90.00
Space group C2/m (No. 12)
Unique sites:
Cu  0.0000  0.0000  0.0000 [2 per cell]
Re  0.2500  0.2500  0.5000 [4 per cell]
As  0.0000  0.5000  0.0000 [2 per cell]



A relaxed structure of CuReAs2, computed with PBE.

Summary:
Uncorrected energy in eV/cell: -23.46
ΔE to the lowest computed polymorph in eV per atom: 0.4260
E_form in eV/atom: 0.596

abc: 3.1645 4.0297 4.9096
angles: 90.00 90.00 90.00
Space group Pmmm (No. 47)
Unique sites:
Cu  0.0000  0.0000  0.0000 [1 per cell]
Re  0.5000  0.0000  0.5000 [1 per cell]
As  0.0000  0.5000  0.5000 [1 per cell]
As  0.5000  0.5000  0.0000 [1 per cell]



A relaxed structure of CuReAs2, computed with PBE.

Summary:
Uncorrected energy in eV/cell: -49.67
ΔE to the lowest computed polymorph in eV per atom: 0.0821
E_form in eV/atom: 0.252

abc: 8.2340 3.1590 6.1353
angles: 90.00 105.94 90.00
Space group Cm (No. 8)
Unique sites:
Cu  0.0000  0.0000  0.0000 [2 per cell]
Re  0.2311  0.0000  0.7749 [2 per cell]
As  0.2477  0.5000  0.1077 [2 per cell]
As  0.4902  0.0000  0.6222 [2 per cell]



A relaxed structure of CuRe2As, computed with PBE.

Summary:
Uncorrected energy in eV/cell: -64.11
E_form in eV/atom: 0.397

abc: 9.0350 2.9801 4.4342
angles: 90.00 107.26 90.00
Space group Cm (No. 8)
Unique sites:
Cu  0.0000  0.0000  0.0000 [2 per cell]
Re  0.2513  0.0000  0.8403 [2 per cell]
Re  0.4981  0.0000  0.5047 [2 per cell]
As  0.2471  0.5000  0.3079 [2 per cell]



A relaxed structure of CuReAs3, computed with PBE.

Summary:
Uncorrected energy in eV/cell: -26.26
ΔE to the lowest computed polymorph in eV per atom: 0.0000
E_form in eV/atom: 0.846

abc: 4.8305 4.8305 4.8305
angles: 90.00 90.00 90.00
Space group Pm-3m (No. 221)
Unique sites:
Cu  0.0000  0.0000  0.0000 [1 per cell]
Re  0.5000  0.5000  0.5000 [1 per cell]
As  0.0000  0.5000  0.5000 [3 per cell]



A relaxed structure of CuRe2As, computed with PBE.

Summary:
Uncorrected energy in eV/cell: -95.71
E_form in eV/atom: 0.434

abc: 2.8625 2.8625 24.6417
angles: 90.00 90.00 120.00
Space group R-3m (No. 166, hexagonal axes)
Unique sites:
Cu  0.0000  0.0000  0.0000 [3 per cell]
Re  0.0000  0.0000  0.2473 [6 per cell]
As  0.0000  0.0000  0.5000 [3 per cell]